Record 1
Ba2Sn4Rh3 | GGA-PBE | optimized geometry

Geometry as CIF:
```
data_Ba2Sn4Rh3
_chemical_formula_sum 'Ba2 Sn4 Rh3'
_symmetry_space_group_name_H-M 'P 1'
_symmetry_Int_Tables_number 1
_symmetry_space_group_name_Hall 'P 1'
_cell_length_a 6.183
_cell_length_b 6.183
_cell_length_c 7.594
_cell_angle_alpha 101.32
_cell_angle_beta 101.32
_cell_angle_gamma 121.19
loop_
_atom_site_label
_atom_site_type_symbol
_atom_site_fract_x
_atom_site_fract_y
_atom_site_fract_z
Ba1 Ba 0.626 0.626 0.251
Ba2 Ba 0.374 0.374 0.749
Sn1 Sn 0.025 0.682 0.706
Sn2 Sn 0.682 0.025 0.706
Sn3 Sn 0.975 0.318 0.294
Sn4 Sn 0.318 0.975 0.294
Rh1 Rh 0.500 0.000 0.000
Rh2 Rh 0.000 0.000 0.000
Rh3 Rh 0.000 0.500 0.000
```

## Properties
E_form (eV/atom): -0.505
Space-group type: Fmmm, No. 69
Density of states at the Fermi level (states/eV/f.u.): 4.06
V (Å³/atom): 25.3
Magnetization (Bohr magnetons per cell): 0.000

---

Record 2
Ca2SmHg3 | GGA-PBE | optimized geometry

Geometry as CIF:
```
data_Ca2SmHg3
_chemical_formula_sum 'Ca4 Sm2 Hg6'
_symmetry_space_group_name_H-M 'P 1'
_symmetry_Int_Tables_number 1
_symmetry_space_group_name_Hall 'P 1'
_cell_length_a 5.343
_cell_length_b 8.415
_cell_length_c 7.663
_cell_angle_alpha 90.00
_cell_angle_beta 90.00
_cell_angle_gamma 71.49
loop_
_atom_site_label
_atom_site_type_symbol
_atom_site_fract_x
_atom_site_fract_y
_atom_site_fract_z
Ca1 Ca 0.000 0.000 0.000
Ca2 Ca 0.000 0.000 0.500
Ca3 Ca 0.334 0.333 0.500
Ca4 Ca 0.666 0.667 0.500
Sm1 Sm 0.334 0.331 0.000
Sm2 Sm 0.666 0.669 0.000
Hg1 Hg 0.833 0.334 0.754
Hg2 Hg 0.500 0.000 0.245
Hg3 Hg 0.167 0.666 0.246
Hg4 Hg 0.833 0.334 0.246
Hg5 Hg 0.167 0.666 0.754
Hg6 Hg 0.500 0.000 0.755
```

## Properties
E_form (eV/atom): -0.538
Space-group type: Cmmm, No. 65
Density of states at the Fermi level (states/eV/f.u.): 3.97
V (Å³/atom): 27.2
Magnetization (Bohr magnetons per cell): 0.000

---

Record 3
AgIrCl2 | GGA-PBE | optimized geometry

Geometry as CIF:
```
data_AgIrCl2
_chemical_formula_sum 'Ag1 Ir1 Cl2'
_symmetry_space_group_name_H-M 'P 1'
_symmetry_Int_Tables_number 1
_symmetry_space_group_name_Hall 'P 1'
_cell_length_a 6.729
_cell_length_b 6.729
_cell_length_c 4.818
_cell_angle_alpha 68.84
_cell_angle_beta 68.84
_cell_angle_gamma 29.14
loop_
_atom_site_label
_atom_site_type_symbol
_atom_site_fract_x
_atom_site_fract_y
_atom_site_fract_z
Ir1 Ir 0.250 0.250 0.250
Ag1 Ag 0.750 0.750 0.750
Cl1 Cl 0.886 0.886 0.113
Cl2 Cl 0.614 0.614 0.387
```

## Properties
Formation energy without anion corrections (meV per atom): 35.1
Space-group type: C2/m, No. 12
V (Å³/atom): 24.6
Magnetization (Bohr magnetons per cell): 0.000